(1)
Computed, not measured: an optimized crystal structure of YTa2Ag at the PBE level of DFT.

Calculated values
The calculation puts the energy above the most stable polymorph in this dataset at 0.893 eV/f.u. The value obtained for the formation energy is 0.405 eV per atom.

abc: 5.9673 5.9673 2.9652
angles: 100.50 100.50 123.00
Closest atoms and distances in Å follow each position.
Positions (direct):
Y: 0.0000 0.0000 0.0000  2 Ag 2.85, 2 Y 2.97, 4 Ta 3.08
Ta: 0.0000 0.5000 0.5000  4 Ta 2.85-2.97, 2 Y 3.08, 2 Ag 3.08
Ta: 0.5000 0.0000 0.5000  4 Ta 2.85-2.97, 2 Ag 3.08, 2 Y 3.08
Ag: 0.5000 0.5000 0.0000  2 Y 2.85, 2 Ag 2.97, 4 Ta 3.08

***

(2)
Computed, not measured: an optimized crystal structure of ScHgI2Br at the PBE level of DFT.

Calculated values
As for the formation energy without anion corrections: -0.93 eV/atom.

abc: 5.7982 5.7982 5.3344
angles: 90.00 90.00 90.00
Closest atoms and distances in Å follow each position.
Positions (direct):
Sc: 0.0000 0.0000 0.0000  2 Br 2.67, 4 I 2.90
Hg: 0.5000 0.5000 0.5000  8 I 3.94, 4 Br 4.10
I: 0.0000 0.5000 0.0000  2 Sc 2.90
I: 0.5000 0.0000 0.0000  2 Sc 2.90
Br: 0.0000 0.0000 0.5000  2 Sc 2.67

***

(3)
Computed, not measured: an optimized crystal structure of In2SnSb2Au7 at the PBE level of DFT.

Calculated values
As for the formation energy without anion corrections: -0.04 eV/atom.

abc: 4.1350 4.1350 16.4260
angles: 91.75 91.75 88.03
Closest atoms and distances in Å follow each position.
Positions (direct):
In: 0.0530 0.0530 0.2614  5 Au 2.70-2.84
In: 0.9470 0.9470 0.7386  5 Au 2.70-2.84
Sn: 0.5000 0.5000 0.0000  12 Au 2.87-3.18
Sb: 0.3724 0.3724 0.5786  5 Au 2.86-2.99, 1 Sb 3.05
Sb: 0.6276 0.6276 0.4214  5 Au 2.86-2.99, 1 Sb 3.05
Au: 0.0000 0.0000 0.0000  4 Sn 2.87-2.97, 8 Au 3.07-3.19
Au: 0.0352 0.5377 0.1429  2 In 2.83-2.84, 5 Au 2.86-3.07, 1 Sn 3.08
Au: 0.1299 0.1299 0.4245  1 In 2.70, 5 Sb 2.86-2.99, 1 Au 2.98
Au: 0.4623 0.9648 0.8571  2 In 2.83-2.84, 5 Au 2.86-3.07, 1 Sn 3.08
Au: 0.5377 0.0352 0.1429  2 In 2.83-2.84, 5 Au 2.86-3.07, 1 Sn 3.08
Au: 0.8701 0.8701 0.5755  1 In 2.70, 5 Sb 2.86-2.99, 1 Au 2.98
Au: 0.9648 0.4623 0.8571  2 In 2.83-2.84, 5 Au 2.86-3.07, 1 Sn 3.08